Compound: TaPBrCl2
Source: the Alexandria database
Functional: PBE
Structure: relaxed

abc: 4.8995 4.8995 5.2083
angles: 90.00 90.00 90.00
With the nearest neighbours (Å) after each atom.
Atoms (fractional coordinates):
Br 0.0000 0.0000 0.0000  4 Cl 2.45, 2 P 2.60
Ta 0.5000 0.5000 0.5000  4 P 3.46, 8 Cl 3.58
Cl 0.5000 0.0000 0.0000  2 Br 2.45
Cl 0.0000 0.5000 0.0000  2 Br 2.45
P 0.0000 0.0000 0.5000  2 Br 2.60

Computed properties:
formation energy (no corrections): 1.48 eV per atom
offset from the most stable computed form: 1721 meV/atom
total moment: 2.7 Bohr magnetons per cell
total energy: -15.23 eV/cell
space group: P4/mmm (123)